# 1
Compound: Tl2GePbSe4
Source: the Alexandria database
Functional: PBE
Structure: relaxed

Energy, eV/cell: -60.12
ρ, g cm⁻³: 6.1

CIF file:
```
data_Tl2GePbSe4
_chemical_formula_sum 'Tl4 Ge2 Pb2 Se8'
_symmetry_space_group_name_H-M 'P m n 21'
_symmetry_Int_Tables_number 31
_cell_length_a 8.762
_cell_length_b 9.707
_cell_length_c 6.381
_cell_angle_alpha 90.00
_cell_angle_beta 90.00
_cell_angle_gamma 90.00
loop_
_symmetry_equiv_pos_as_xyz
'x,y,z'
'-x+1/2,-y,z+1/2'
'-x,y,z'
'x+1/2,-y,z+1/2'
loop_
_atom_site_label
_atom_site_fract_x
_atom_site_fract_y
_atom_site_fract_z
Tl1 0.199 0.151 0.000
Ge1 0.000 0.686 0.907
Pb1 0.000 0.401 0.474
Se1 0.000 0.445 0.994
Se2 0.000 0.702 0.530
Se3 0.228 0.803 0.013
```

# 2
Compound: BaZr2Ru
Source: the Alexandria database
Functional: PBE
Structure: relaxed

Energy relative to the elements, eV per atom: 0.518
ΔE to the lowest computed polymorph, meV/atom: 439.3
Density of states at the Fermi level, states/eV/atom: 1.626
Energy, eV/cell: -104.88
ρ, g cm⁻³: 7.9

CIF file:
```
data_BaZr2Ru
_chemical_formula_sum 'Ba4 Zr8 Ru4'
_symmetry_space_group_name_H-M 'F m -3 m'
_symmetry_Int_Tables_number 225
_symmetry_space_group_name_Hall '-F 4 2 3'
_cell_length_a 7.085
_cell_length_b 7.085
_cell_length_c 7.085
_cell_angle_alpha 90.00
_cell_angle_beta 90.00
_cell_angle_gamma 90.00
loop_
_atom_site_label
_atom_site_fract_x
_atom_site_fract_y
_atom_site_fract_z
Ba1 0.000 0.000 0.000
Zr1 0.250 0.250 0.250
Ru1 0.000 0.000 0.500
```

# 3
Compound: FePdI2N
Source: the Alexandria database
Functional: PBE
Structure: relaxed

ΔE to the lowest computed polymorph, meV/atom: 0.0
Density of states at the Fermi level, states/eV/atom: 0.879
Energy, eV/cell: -22.68
ρ, g cm⁻³: 7.2

CIF file:
```
data_FePdI2N
_chemical_formula_sum 'Fe1 Pd1 I2 N1'
_symmetry_space_group_name_H-M 'P 4/m m m'
_symmetry_Int_Tables_number 123
_symmetry_space_group_name_Hall '-P 4 2'
_cell_length_a 5.355
_cell_length_b 5.355
_cell_length_c 3.440
_cell_angle_alpha 90.00
_cell_angle_beta 90.00
_cell_angle_gamma 90.00
loop_
_atom_site_label
_atom_site_fract_x
_atom_site_fract_y
_atom_site_fract_z
Fe1 0.000 0.000 0.000
Pd1 0.500 0.500 0.500
I1 0.000 0.500 0.000
N1 0.000 0.000 0.500
```

# 4
Compound: Ac2ScPb
Source: the Alexandria database
Functional: PBE
Structure: relaxed

Energy relative to the elements, eV per atom: 0.208
ΔE to the lowest computed polymorph, meV/atom: 384.9
Density of states at the Fermi level, states/eV/atom: 1.683
Energy, eV/cell: -52.27
ρ, g cm⁻³: 8.1

CIF file:
```
data_Ac2ScPb
_chemical_formula_sum 'Ac6 Sc3 Pb3'
_symmetry_space_group_name_H-M 'R -3 m'
_symmetry_Int_Tables_number 166
_symmetry_space_group_name_Hall '-R 3 2"'
_cell_length_a 3.6341
_cell_length_b 3.6341
_cell_length_c 37.7450
_cell_angle_alpha 90.00
_cell_angle_beta 90.00
_cell_angle_gamma 120.00
loop_
_atom_site_label
_atom_site_fract_x
_atom_site_fract_y
_atom_site_fract_z
Ac1 0.0000 0.0000 0.0888
Sc1 0.0000 0.0000 0.0000
Pb1 0.0000 0.0000 0.5000
```

# 5
Compound: GeAsH2Se
Source: the Alexandria database
Functional: PBE
Structure: relaxed

ΔE to the lowest computed polymorph, meV/atom: 136.6
Density of states at the Fermi level, states/eV/atom: 0.109
Energy, eV/cell: -18.65
ρ, g cm⁻³: 3.7

CIF file:
```
data_GeAsH2Se
_chemical_formula_sum 'Ge1 As1 H2 Se1'
_symmetry_space_group_name_H-M 'P 1'
_symmetry_Int_Tables_number 1
_cell_length_a 2.829
_cell_length_b 6.344
_cell_length_c 6.430
_cell_angle_alpha 66.48
_cell_angle_beta 77.40
_cell_angle_gamma 77.21
loop_
_symmetry_equiv_pos_as_xyz
'x,y,z'
loop_
_atom_site_label
_atom_site_fract_x
_atom_site_fract_y
_atom_site_fract_z
Ge1 0.000 0.000 0.000
As1 0.923 0.723 0.434
H1 0.066 0.518 0.350
H2 0.139 0.942 0.777
Se1 0.846 0.416 0.895
```

# 6
Compound: CsTmI4
Source: the Alexandria database
Functional: PBE
Structure: relaxed

ΔE to the lowest computed polymorph, meV/atom: 37.8
Density of states at the Fermi level, states/eV/atom: 0.000
Energy, eV/cell: -79.80
ρ, g cm⁻³: 4.7

CIF file:
```
data_CsTmI4
_chemical_formula_sum 'Cs4 Tm4 I16'
_symmetry_space_group_name_H-M 'C 1 2/c 1'
_symmetry_Int_Tables_number 15
_cell_length_a 18.489
_cell_length_b 7.533
_cell_length_c 8.433
_cell_angle_alpha 90.00
_cell_angle_beta 105.30
_cell_angle_gamma 90.00
loop_
_symmetry_equiv_pos_as_xyz
'x,y,z'
'-x,-y,-z'
'-x,y,-z+1/2'
'x,-y,z+1/2'
'x+1/2,y+1/2,z'
'-x+1/2,-y+1/2,-z'
'-x+1/2,y+1/2,-z+1/2'
'x+1/2,-y+1/2,z+1/2'
loop_
_atom_site_label
_atom_site_fract_x
_atom_site_fract_y
_atom_site_fract_z
Cs1 0.000 0.168 0.250
Tm1 0.250 0.250 0.000
I1 0.098 0.388 0.945
I2 0.196 0.071 0.661
```

# 7
Compound: BaNb
Source: the Alexandria database
Functional: PBE
Structure: relaxed

Energy relative to the elements, eV per atom: 2.441
ΔE to the lowest computed polymorph, meV/atom: 1853.5
Density of states at the Fermi level, states/eV/atom: 0.646
Energy, eV/cell: -28.44
ρ, g cm⁻³: 3.1

CIF file:
```
data_BaNb
_chemical_formula_sum 'Ba4 Nb4'
_symmetry_space_group_name_H-M 'F -4 3 m'
_symmetry_Int_Tables_number 216
_symmetry_space_group_name_Hall 'F -4 2 3'
_cell_length_a 7.901
_cell_length_b 7.901
_cell_length_c 7.901
_cell_angle_alpha 90.00
_cell_angle_beta 90.00
_cell_angle_gamma 90.00
loop_
_atom_site_label
_atom_site_fract_x
_atom_site_fract_y
_atom_site_fract_z
Ba1 0.000 0.000 0.000
Nb1 0.250 0.250 0.250
```

# 8
Compound: Sm2Tm3Hg4
Source: the Alexandria database
Functional: PBE
Structure: relaxed

Energy relative to the elements, eV per atom: -0.351
Density of states at the Fermi level, states/eV/atom: 0.798
Energy, eV/cell: -108.88
ρ, g cm⁻³: 10.8

CIF file:
```
data_Sm2Tm3Hg4
_chemical_formula_sum 'Sm8 Tm12 Hg16'
_symmetry_space_group_name_H-M 'C m c e'
_symmetry_Int_Tables_number 64
_symmetry_space_group_name_Hall '-C 2ac 2'
_cell_length_a 6.929
_cell_length_b 17.742
_cell_length_c 8.079
_cell_angle_alpha 90.00
_cell_angle_beta 90.00
_cell_angle_gamma 90.00
loop_
_atom_site_label
_atom_site_fract_x
_atom_site_fract_y
_atom_site_fract_z
Sm1 0.000 0.096 0.091
Tm1 0.000 0.000 0.500
Tm2 0.250 0.238 0.750
Hg1 0.000 0.168 0.470
Hg2 0.250 0.066 0.750
```

Q: energy of number 4 (Ac2ScPb)?
A: -52.27 eV/cell